1.
Y6AgPd5 | GGA-PBE | optimized geometry

CIF file:
```
data_Y6AgPd5
_symmetry_space_group_name_H-M 'P 1 2/m 1'
_symmetry_Int_Tables_number 10
_cell_length_a 5.011
_cell_length_b 7.097
_cell_length_c 7.889
_cell_angle_alpha 90.00
_cell_angle_beta 108.41
_cell_angle_gamma 90.00
loop_
_symmetry_equiv_pos_as_xyz
'x,y,z'
'-x,-y,-z'
'-x,y,-z'
'x,-y,z'
loop_
_atom_site_label
_atom_site_fract_x
_atom_site_fract_y
_atom_site_fract_z
_atom_site_occupancy
Y1 0.000 0.244 0.000 1
Y2 0.331 0.248 0.662 1
Ag1 0.500 0.500 0.000 1
Pd1 0.164 0.500 0.328 1
Pd2 0.167 0.000 0.334 1
Pd3 0.500 0.000 0.000 1
```

Calculated values
Energy of formation: -899.6 kJ/mol of formula units



2.
TlCuGeTe3 | GGA-PBE | optimized geometry

CIF file:
```
data_TlCuGeTe3
_symmetry_space_group_name_H-M 'P 1 21/m 1'
_symmetry_Int_Tables_number 11
_cell_length_a 9.878
_cell_length_b 3.865
_cell_length_c 9.919
_cell_angle_alpha 90.00
_cell_angle_beta 107.69
_cell_angle_gamma 90.00
loop_
_symmetry_equiv_pos_as_xyz
'x,y,z'
'-x,-y,-z'
'-x,y+1/2,-z'
'x,-y+1/2,z'
loop_
_atom_site_label
_atom_site_fract_x
_atom_site_fract_y
_atom_site_fract_z
_atom_site_occupancy
Tl1 0.233 0.250 0.185 1
Cu1 0.418 0.750 0.937 1
Ge1 0.119 0.250 0.659 1
Te1 0.142 0.750 0.877 1
Te2 0.173 0.750 0.467 1
Te3 0.473 0.250 0.784 1
```

Calculated values
Formation energy from raw total energies: -0.088 eV per atom